Computed, not measured: crystalline RbNpV2O8 at its relaxed geometry at the PBE+U level of DFT. Values from VASP.

Quantum ESPRESSO input file:
```
&SYSTEM
  ibrav = 0, nat = 12, ntyp = 4
/
ATOMIC_SPECIES
O 16.00 O.upf
Rb 85.47 Rb.upf
Np 237.00 Np.upf
V 50.94 V.upf
ATOMIC_POSITIONS crystal
O 0.795 0.795 0.089
O 0.315 0.315 0.593
O 0.795 0.298 0.176
O 0.205 0.702 0.824
O 0.702 0.205 0.824
O 0.205 0.205 0.911
O 0.685 0.685 0.407
O 0.298 0.795 0.176
Rb 0.000 0.000 0.500
Np 0.000 0.000 0.000
V 0.644 0.644 0.216
V 0.356 0.356 0.784
CELL_PARAMETERS angstrom
5.678 -0.014 -0.057
2.606 5.044 -0.057
0.299 0.182 8.295
```

Results
Electronic total energy = -0.2920 hartree per atom
Density = 3.85 g/cm³

Computed, not measured: crystalline RbNpWO6 at its relaxed geometry at the PBE+U level of DFT. Values from VASP.

Quantum ESPRESSO input file:
```
&SYSTEM
  ibrav = 0, nat = 18, ntyp = 4
/
ATOMIC_SPECIES
O 16.00 O.upf
W 183.84 W.upf
Np 237.00 Np.upf
Rb 85.47 Rb.upf
ATOMIC_POSITIONS crystal
O 0.201 0.951 0.401
O 0.574 0.324 0.148
O 0.574 0.944 0.743
O 0.574 0.299 0.743
O 0.831 0.056 0.257
O 0.169 0.299 0.743
O 0.169 0.944 0.743
O 0.831 0.701 0.257
O 0.426 0.676 0.852
O 0.426 0.056 0.257
O 0.426 0.701 0.257
O 0.799 0.049 0.599
W 0.000 0.000 0.500
W 0.500 0.000 0.500
Np 0.500 0.000 0.000
Np 0.500 0.500 0.000
Rb 0.879 0.629 0.758
Rb 0.121 0.371 0.242
CELL_PARAMETERS angstrom
7.508 0.000 0.000
0.000 7.797 0.000
-3.754 -3.898 5.439
```

Results
Electronic total energy = -0.2958 hartree per atom
Density = 6.28 g/cm³